10
Lattice="5.465 0.000 0.000 -2.725 4.737 0.000 -0.014 -3.140 4.840" Properties=species:S:1:pos:R:3 comment="PuMn2InO6, relaxed, DFT PBE+U" rho_g_cm3=7.483 magnetic_moment_mub_per_cell=11.00 total_energy_ev_per_atom=-8.0180 sg="P1 (1)" pbc="T T T"
Pu 0.000 0.000 0.000
Mn -0.008 0.016 4.109
Mn 2.736 1.585 1.902
In -0.004 3.171 2.341
O -1.008 1.775 0.886
O 0.741 -1.749 3.205
O 2.039 -0.013 0.874
O 1.145 1.546 3.204
O 1.700 2.978 0.880
O 3.545 0.241 3.203